A geometry-optimized Er11In9Rh4 structure, computed with PBE-GGA.

a b c (Å): 3.654 13.033 13.033
angles (deg): 112.52 90.00 90.00
Fractional coordinates of all 24 atoms:
In (0.500, 0.157, 0.632)
In (0.500, 0.217, 0.074)
Rh (0.500, 0.753, 0.551)
Er (0.000, 0.000, 0.000)
Rh (0.500, 0.247, 0.449)
Er (0.000, 0.688, 0.688)
Er (0.000, 0.839, 0.161)
Rh (0.500, 0.449, 0.247)
Er (0.000, 0.079, 0.416)
Rh (0.500, 0.551, 0.753)
In (0.500, 0.783, 0.926)
In (0.500, 0.074, 0.217)
Er (0.000, 0.374, 0.626)
Er (0.000, 0.921, 0.584)
Er (0.000, 0.584, 0.921)
In (0.500, 0.926, 0.783)
In (0.500, 0.843, 0.368)
In (0.500, 0.500, 0.500)
Er (0.000, 0.626, 0.374)
In (0.500, 0.632, 0.157)
Er (0.000, 0.312, 0.312)
Er (0.000, 0.161, 0.839)
In (0.500, 0.368, 0.843)
Er (0.000, 0.416, 0.079)

## Properties
magnetization	0.00	μB/cell
space group	Cmmm (65)
crystal system	orthorhombic



A geometry-optimized Er6InRh structure, computed with PBE-GGA.

a b c (Å): 6.372 6.372 6.338
angles (deg): 99.77 99.77 102.50
Fractional coordinates of all 8 atoms:
Er (0.786, 0.786, 0.365)
Er (0.797, 0.409, 0.792)
Rh (0.500, 0.500, 0.500)
In (0.000, 0.000, 0.000)
Er (0.591, 0.203, 0.208)
Er (0.409, 0.797, 0.792)
Er (0.203, 0.591, 0.208)
Er (0.214, 0.214, 0.635)

## Properties
magnetization	0.00	μB/cell
space group	C2/m (12)
crystal system	monoclinic



A geometry-optimized ErIn2Rh structure, computed with PBE-GGA.

a b c (Å): 5.519 8.275 15.312
angles (deg): 90.00 90.00 90.00
Fractional coordinates of all 32 atoms:
In (0.031, 0.546, 0.785)
Rh (0.971, 0.250, 0.071)
In (0.746, 0.951, 0.037)
In (0.531, 0.454, 0.715)
In (0.246, 0.451, 0.463)
Er (0.760, 0.250, 0.896)
Er (0.260, 0.750, 0.604)
Er (0.541, 0.750, 0.861)
In (0.754, 0.951, 0.537)
Er (0.240, 0.750, 0.104)
In (0.969, 0.046, 0.215)
In (0.254, 0.451, 0.963)
Rh (0.254, 0.250, 0.817)
In (0.969, 0.454, 0.215)
Er (0.740, 0.250, 0.396)
In (0.246, 0.049, 0.463)
In (0.746, 0.549, 0.037)
Rh (0.746, 0.750, 0.183)
Rh (0.471, 0.750, 0.429)
Er (0.459, 0.250, 0.139)
In (0.754, 0.549, 0.537)
In (0.531, 0.046, 0.715)
Rh (0.529, 0.250, 0.571)
In (0.031, 0.954, 0.785)
In (0.469, 0.546, 0.285)
In (0.254, 0.049, 0.963)
Er (0.959, 0.750, 0.361)
Er (0.041, 0.250, 0.639)
Rh (0.754, 0.750, 0.683)
Rh (0.246, 0.250, 0.317)
In (0.469, 0.954, 0.285)
Rh (0.029, 0.750, 0.929)

## Properties
magnetization	0.00	μB/cell
space group	Pnma (62)
crystal system	orthorhombic



A geometry-optimized Er2InRh3 structure, computed with PBE-GGA.

a b c (Å): 4.715 4.715 11.557
angles (deg): 90.00 90.00 120.00
Fractional coordinates of all 12 atoms:
In (0.333, 0.667, 0.665)
Rh (0.000, 0.000, 0.251)
Rh (0.333, 0.667, 0.916)
Rh (0.667, 0.333, 0.580)
Er (0.000, 0.000, 0.000)
Rh (0.000, 0.000, 0.749)
Er (0.000, 0.000, 0.500)
Rh (0.667, 0.333, 0.084)
In (0.667, 0.333, 0.335)
Er (0.667, 0.333, 0.823)
Rh (0.333, 0.667, 0.420)
Er (0.333, 0.667, 0.177)

## Properties
ΔE to the lowest computed polymorph	0.000	eV/atom
magnetization	0.00	μB/cell
space group	P-3m1 (164)
crystal system	trigonal



In order of appearance, energy relative to the elements = -0.677 -0.150 -0.591 -0.836 eV per atom.